Record 1
{"formula": "Li3VCrP4O14", "functional": "GGA+U", "state": "relaxed", "cell": [[4.9946, 0.0021, -0.0026], [-2.2641, 6.6821, -0.0001], [-0.0647, -0.0979, 8.3363]], "species": ["O", "O", "O", "O", "O", "O", "O", "O", "O", "O", "O", "O", "O", "O", "P", "P", "P", "P", "V", "Li", "Li", "Li", "Cr"], "fractional_positions": [[0.5477, 0.3686, 0.3104], [0.0730, 0.8765, 0.1670], [0.3810, 0.0716, 0.5638], [0.1999, 0.5053, 0.4587], [0.7565, 0.5092, 0.6624], [0.8086, 0.5296, 0.9675], [0.1565, 0.8842, 0.8092], [0.9672, 0.1492, 0.6920], [0.2286, 0.5166, 0.1557], [0.4391, 0.2436, 0.8439], [0.8651, 0.1087, 0.2962], [0.3824, 0.5896, 0.8274], [0.6250, 0.7432, 0.3323], [0.5988, 0.9026, 0.0589], [0.7888, 0.9090, 0.2030], [0.6035, 0.4800, 0.8218], [0.3907, 0.5244, 0.3150], [0.2222, 0.0837, 0.7202], [0.7939, 0.2772, 0.5074], [0.8193, 0.3409, 0.1414], [0.1747, 0.6658, 0.6474], [0.2706, 0.0917, 0.3417], [0.2123, 0.7241, 0.9956]], "magnetic_moment_mub_per_fu": 6.00, "space_group": "No. 1", "final_energy_ev_per_cell": -163.259, "vol_a3_per_atom": 12.10}

Record 2
{"formula": "Li2VCrP4O14", "functional": "GGA+U", "state": "relaxed", "cell": [[9.5855, 0.0005, 0.0179], [-4.6117, 8.4055, 0.0193], [1.3445, 2.2762, 6.6744]], "species": ["P", "P", "P", "P", "P", "P", "P", "P", "O", "O", "O", "O", "O", "O", "O", "O", "O", "O", "O", "O", "O", "O", "O", "O", "O", "O", "O", "O", "O", "O", "O", "O", "O", "O", "O", "O", "Li", "Li", "Li", "Li", "V", "V", "Cr", "Cr"], "fractional_positions": [[0.7926, 0.0787, 0.9136], [0.3458, 0.5262, 0.5249], [0.6741, 0.4572, 0.0856], [0.7226, 0.4022, 0.4771], [0.2227, 0.9029, 0.4744], [0.8491, 0.0283, 0.5236], [0.1734, 0.9600, 0.0858], [0.2905, 0.5738, 0.9147], [0.8799, 0.4177, 0.5182], [0.5120, 0.6909, 0.3971], [0.3308, 0.3698, 0.4823], [0.0157, 0.1919, 0.3948], [0.2095, 0.0547, 0.4876], [0.2757, 0.9761, 0.8835], [0.6991, 0.0423, 0.5069], [0.0590, 0.7373, 0.6046], [0.6948, 0.6269, 0.0810], [0.1220, 0.5547, 0.9167], [0.7747, 0.9734, 0.1152], [0.3414, 0.4924, 0.7552], [0.7079, 0.5516, 0.4941], [0.9347, 0.2615, 0.8528], [0.4911, 0.3157, 0.1456], [0.5582, 0.2351, 0.6033], [0.1947, 0.5405, 0.5114], [0.2554, 0.9079, 0.2440], [0.2753, 0.4700, 0.1166], [0.7557, 0.4075, 0.2462], [0.7803, 0.4733, 0.8846], [0.3804, 0.9195, 0.5151], [0.9902, 0.8164, 0.1504], [0.6231, 0.0581, 0.9157], [0.1930, 0.1284, 0.0855], [0.4335, 0.7571, 0.8516], [0.8436, 0.9968, 0.7546], [0.8319, 0.8698, 0.4850], [0.0651, 0.4249, 0.3295], [0.5687, 0.9285, 0.3286], [0.3233, 0.1832, 0.6698], [0.8232, 0.6830, 0.6728], [0.7570, 0.7571, 0.2717], [0.4925, 0.9918, 0.7288], [0.9929, 0.4932, 0.7275], [0.2577, 0.2574, 0.2722]], "magnetic_moment_mub_per_fu": 5.00, "space_group": "No. 1", "final_energy_ev_per_cell": -318.880, "polymorph_energy_mev_per_atom": 0, "vol_a3_per_atom": 12.20}

Record 3
{"formula": "Li2VCrP4O14", "functional": "GGA+U", "state": "relaxed", "cell": [[-3.3750, -3.5084, 5.9383], [9.6352, -0.9578, 2.4743], [-4.3616, 8.7425, 1.7828]], "species": ["O", "O", "O", "O", "O", "O", "O", "O", "O", "O", "O", "O", "O", "O", "O", "O", "O", "O", "O", "O", "O", "O", "O", "O", "O", "O", "O", "O", "Li", "Li", "Li", "Li", "P", "P", "P", "P", "P", "P", "P", "P", "V", "V", "Cr", "Cr"], "fractional_positions": [[0.2868, 0.5657, 0.6309], [0.3686, 0.2404, 0.7473], [0.8203, 0.6566, 0.4417], [0.6289, 0.5545, 0.7134], [0.1922, 0.8636, 0.1566], [0.5494, 0.3136, 0.1110], [0.8695, 0.4383, 0.7774], [0.1495, 0.9525, 0.9849], [0.0840, 0.2827, 0.0170], [0.4613, 0.2521, 0.3568], [0.4517, 0.9361, 0.6066], [0.7258, 0.5889, 0.1284], [0.0575, 0.2209, 0.5023], [0.9279, 0.4368, 0.9198], [0.6989, 0.1066, 0.4950], [0.1294, 0.9390, 0.8315], [0.5506, 0.3174, 0.8490], [0.4067, 0.5819, 0.2042], [0.5169, 0.6486, 0.9915], [0.6270, 0.7207, 0.7482], [0.0503, 0.9184, 0.5678], [0.8808, 0.7477, 0.9825], [0.6302, 0.8377, 0.2796], [0.3020, 0.2251, 0.2481], [0.3848, 0.9239, 0.4557], [0.5197, 0.9956, 0.0765], [0.8755, 0.3686, 0.4342], [0.7497, 0.1761, 0.9271], [0.6590, 0.8401, 0.9810], [0.3051, 0.3711, 0.1470], [0.0713, 0.4507, 0.6476], [0.9288, 0.0782, 0.5692], [0.5545, 0.6561, 0.1531], [0.4705, 0.5803, 0.5914], [0.5386, 0.9832, 0.3783], [0.9241, 0.2084, 0.3728], [0.0900, 0.7699, 0.9743], [0.5537, 0.2077, 0.9423], [0.9454, 0.2350, 0.8788], [0.0214, 0.7378, 0.4870], [0.3687, 0.0373, 0.1904], [0.7175, 0.5377, 0.9126], [0.2905, 0.0324, 0.7408], [0.6650, 0.4354, 0.3631]], "magnetic_moment_mub_per_fu": 4.00, "space_group": "No. 1", "final_energy_ev_per_cell": -280.368, "polymorph_energy_mev_per_atom": 876, "vol_a3_per_atom": 14.83}

Record 4
{"formula": "LiVCrP4O14", "functional": "GGA+U", "state": "relaxed", "cell": [[7.2288, -0.0116, -0.0393], [0.0007, 8.0972, 0.0011], [1.6563, 0.0241, 13.4986]], "species": ["P", "P", "P", "P", "P", "P", "P", "P", "P", "P", "P", "P", "O", "O", "O", "O", "O", "O", "O", "O", "O", "O", "O", "O", "O", "O", "O", "O", "O", "O", "O", "O", "O", "O", "O", "O", "O", "O", "O", "O", "O", "O", "O", "O", "O", "O", "O", "O", "O", "O", "O", "O", "O", "O", "Li", "Li", "Li", "V", "V", "V", "Cr", "Cr", "Cr"], "fractional_positions": [[0.5256, 0.7804, 0.3782], [0.4675, 0.2802, 0.6230], [0.8542, 0.1844, 0.6267], [0.5281, 0.1788, 0.9580], [0.1419, 0.2796, 0.9542], [0.4755, 0.6791, 0.0419], [0.1421, 0.6815, 0.3753], [0.1898, 0.1830, 0.2945], [0.8016, 0.2779, 0.2876], [0.8597, 0.7778, 0.0453], [0.8166, 0.6844, 0.7060], [0.1994, 0.7793, 0.7114], [0.2233, 0.1782, 0.4016], [0.9701, 0.1475, 0.2868], [0.6363, 0.1483, 0.6192], [0.4764, 0.9290, 0.4455], [0.2302, 0.3576, 0.2513], [0.1998, 0.4336, 0.8907], [0.9524, 0.0487, 0.5629], [0.4207, 0.8500, 0.0833], [0.0293, 0.6426, 0.7188], [0.0301, 0.5432, 0.4301], [0.3078, 0.1491, 0.9464], [0.4274, 0.3389, 0.7314], [0.6888, 0.6453, 0.0563], [0.6419, 0.1828, 0.2547], [0.2842, 0.0493, 0.2268], [0.2424, 0.8245, 0.6030], [0.7537, 0.3342, 0.3961], [0.9762, 0.1939, 0.9172], [0.1275, 0.6791, 0.2625], [0.7106, 0.5460, 0.7669], [0.7925, 0.6757, 0.5943], [0.5766, 0.3510, 0.9103], [0.0201, 0.6835, 0.0863], [0.6295, 0.0436, 0.8972], [0.7707, 0.8567, 0.7436], [0.8704, 0.4288, 0.2239], [0.0948, 0.3286, 0.0638], [0.8853, 0.1841, 0.7358], [0.6885, 0.6858, 0.4170], [0.5345, 0.4297, 0.5577], [0.1402, 0.9244, 0.7787], [0.4595, 0.6679, 0.9301], [0.3551, 0.6476, 0.3904], [0.8963, 0.3576, 0.5829], [0.3647, 0.5423, 0.0995], [0.9087, 0.8159, 0.9364], [0.0881, 0.8520, 0.4186], [0.5480, 0.1808, 0.0675], [0.8072, 0.9280, 0.1105], [0.3061, 0.1848, 0.5921], [0.5685, 0.8227, 0.2696], [0.3596, 0.6785, 0.7462], [0.8409, 0.3649, 0.8332], [0.1582, 0.8674, 0.1645], [0.8222, 0.8690, 0.4990], [0.4452, 0.5073, 0.8280], [0.7779, 0.4965, 0.4937], [0.1149, 0.4951, 0.1621], [0.8893, 0.9969, 0.8378], [0.5545, 0.0059, 0.1698], [0.2246, 0.0058, 0.5058]], "magnetic_moment_mub_per_fu": 4.00, "space_group": "No. 1", "final_energy_ev_per_cell": -460.956, "vol_a3_per_atom": 12.55}

Record 5
{"formula": "Li2VCrP4O14", "functional": "GGA+U", "state": "relaxed", "cell": [[-2.6632, -7.5992, -1.7815], [6.2155, -1.4982, -2.9011], [5.8277, -3.6664, 6.9270]], "species": ["Li", "Li", "Li", "Li", "P", "P", "P", "P", "P", "P", "P", "P", "O", "O", "O", "O", "O", "O", "O", "O", "O", "O", "O", "O", "O", "O", "O", "O", "O", "O", "O", "O", "O", "O", "O", "O", "O", "O", "O", "O", "Cr", "Cr", "V", "V"], "fractional_positions": [[0.8603, 0.6740, 0.9098], [0.3603, 0.3260, 0.0902], [0.3598, 0.3312, 0.5872], [0.8598, 0.6688, 0.4128], [0.6806, 0.4750, 0.1983], [0.1791, 0.5235, 0.2992], [0.7821, 0.0848, 0.8927], [0.2821, 0.9152, 0.1073], [0.7873, 0.0866, 0.3893], [0.1806, 0.5250, 0.8017], [0.2873, 0.9134, 0.6107], [0.6791, 0.4765, 0.7008], [0.1533, 0.7551, 0.7050], [0.7008, 0.8845, 0.4300], [0.3261, 0.8499, 0.4788], [0.9367, 0.0874, 0.2960], [0.1787, 0.3964, 0.7006], [0.2008, 0.1155, 0.5700], [0.3437, 0.5083, 0.3746], [0.0386, 0.4831, 0.4074], [0.6921, 0.8835, 0.9335], [0.4307, 0.9211, 0.2008], [0.1767, 0.3955, 0.1980], [0.4367, 0.9126, 0.7040], [0.8454, 0.4898, 0.1221], [0.5383, 0.5160, 0.0923], [0.6767, 0.6045, 0.8020], [0.3454, 0.5102, 0.8779], [0.3245, 0.8542, 0.9756], [0.8261, 0.1501, 0.5212], [0.6508, 0.2452, 0.7970], [0.0383, 0.4840, 0.9077], [0.5386, 0.5169, 0.5926], [0.1921, 0.1165, 0.0665], [0.6787, 0.6036, 0.2994], [0.9307, 0.0789, 0.7992], [0.1508, 0.7548, 0.2030], [0.6533, 0.2449, 0.2950], [0.8437, 0.4917, 0.6254], [0.8245, 0.1458, 0.0244], [0.9997, 0.2735, 0.1051], [0.4997, 0.7265, 0.8949], [0.5001, 0.7298, 0.3917], [0.0001, 0.2702, 0.6083]], "magnetic_moment_mub_per_fu": 5.00, "space_group": "No. 4", "final_energy_ev_per_cell": -318.884, "polymorph_energy_mev_per_atom": 0, "vol_a3_per_atom": 12.20}

Record 6
{"formula": "Li2VCrP4O14", "functional": "GGA+U", "state": "relaxed", "cell": [[-2.5342, 5.1502, -4.0474], [-4.5336, -5.5030, -4.1446], [-9.5938, 0.1332, 10.3376]], "species": ["P", "P", "P", "P", "P", "P", "P", "P", "P", "P", "P", "P", "O", "O", "O", "O", "O", "O", "O", "O", "O", "O", "O", "O", "O", "O", "O", "O", "O", "O", "O", "O", "O", "O", "O", "O", "O", "O", "O", "O", "O", "O", "O", "O", "O", "O", "O", "O", "O", "O", "O", "O", "O", "O", "Cr", "Cr", "Cr", "V", "V", "V", "Li", "Li", "Li", "Li", "Li", "Li"], "fractional_positions": [[0.9415, 0.1807, 0.4665], [0.9845, 0.7845, 0.0712], [0.3919, 0.6811, 0.8670], [0.3492, 0.2861, 0.2616], [0.6520, 0.7899, 0.7389], [0.6105, 0.1790, 0.1331], [0.0113, 0.2798, 0.9269], [0.6775, 0.2848, 0.5926], [0.3227, 0.7835, 0.4069], [0.0594, 0.6806, 0.5338], [0.7240, 0.6789, 0.2005], [0.2765, 0.1789, 0.7997], [0.8896, 0.6521, 0.1356], [0.5789, 0.0360, 0.0627], [0.5553, 0.6552, 0.8012], [0.2838, 0.4344, 0.1986], [0.0510, 0.9335, 0.1337], [0.8345, 0.8248, 0.9836], [0.1946, 0.6777, 0.8009], [0.2475, 0.0374, 0.7281], [0.2404, 0.3434, 0.7496], [0.7123, 0.9386, 0.8021], [0.6153, 0.4344, 0.5308], [0.8274, 0.3250, 0.6808], [0.4704, 0.1776, 0.8685], [0.9117, 0.0398, 0.3947], [0.7549, 0.5369, 0.2715], [0.4244, 0.5395, 0.9382], [0.8281, 0.7024, 0.7134], [0.2263, 0.6511, 0.4700], [0.4445, 0.1531, 0.1979], [0.5021, 0.1967, 0.6196], [0.4269, 0.8459, 0.9179], [0.4985, 0.3274, 0.3493], [0.1725, 0.8229, 0.3187], [0.8060, 0.1767, 0.2009], [0.1072, 0.1492, 0.8627], [0.0964, 0.8464, 0.5836], [0.4978, 0.6952, 0.3800], [0.5283, 0.6763, 0.1326], [0.7740, 0.1518, 0.5300], [0.5049, 0.8289, 0.6498], [0.8638, 0.6788, 0.4666], [0.8386, 0.1905, 0.9555], [0.9423, 0.4290, 0.8656], [0.9054, 0.3462, 0.4165], [0.1369, 0.1789, 0.5338], [0.0889, 0.5406, 0.6061], [0.1638, 0.3223, 0.0136], [0.3853, 0.9337, 0.4685], [0.1589, 0.6964, 0.0443], [0.5764, 0.3425, 0.0817], [0.7586, 0.8428, 0.2516], [0.1744, 0.1985, 0.2884], [0.6541, 0.9996, 0.9298], [0.3231, 0.0012, 0.5952], [0.6787, 0.5009, 0.4044], [0.9928, 0.9987, 0.2620], [0.0066, 0.5001, 0.7388], [0.3427, 0.4984, 0.0706], [0.9465, 0.3596, 0.2744], [0.2767, 0.3603, 0.6082], [0.3863, 0.8596, 0.0600], [0.0561, 0.8601, 0.7257], [0.6141, 0.3600, 0.9404], [0.7228, 0.8602, 0.3927]], "magnetic_moment_mub_per_fu": 5.00, "space_group": "No. 1", "final_energy_ev_per_cell": -478.327, "polymorph_energy_mev_per_atom": 0, "vol_a3_per_atom": 12.20}

Record 7
{"formula": "Li2VCrP4O14", "functional": "GGA+U", "state": "relaxed", "cell": [[-0.7006, 4.7847, 0.6773], [-8.7766, -4.2543, 4.7672], [7.3487, -2.2274, 7.6113]], "species": ["V", "V", "Li", "Li", "Li", "Li", "P", "P", "P", "P", "P", "P", "P", "P", "O", "O", "O", "O", "O", "O", "O", "O", "O", "O", "O", "O", "O", "O", "O", "O", "O", "O", "O", "O", "O", "O", "O", "O", "O", "O", "O", "O", "Cr", "Cr"], "fractional_positions": [[0.2147, 0.1147, 0.6149], [0.2147, 0.6147, 0.1149], [0.8246, 0.8442, 0.4841], [0.1800, 0.2655, 0.4054], [0.1800, 0.7654, 0.9054], [0.8247, 0.3442, 0.9841], [0.7790, 0.5978, 0.3168], [0.2152, 0.9374, 0.1489], [0.6018, 0.0775, 0.3967], [0.3997, 0.3507, 0.1719], [0.3997, 0.8506, 0.6718], [0.6018, 0.5775, 0.8967], [0.2152, 0.4374, 0.6489], [0.7790, 0.0978, 0.8168], [0.7541, 0.6675, 0.8216], [0.2486, 0.9252, 0.5822], [0.0390, 0.5867, 0.2625], [0.0391, 0.0867, 0.7625], [0.8172, 0.0272, 0.4869], [0.4043, 0.4499, 0.7956], [0.8646, 0.1544, 0.9620], [0.1867, 0.2586, 0.2222], [0.2486, 0.4252, 0.0822], [0.9481, 0.9857, 0.1591], [0.5939, 0.1754, 0.7457], [0.4036, 0.1416, 0.4642], [0.1867, 0.7586, 0.7222], [0.5879, 0.9525, 0.8026], [0.1389, 0.2928, 0.5919], [0.6062, 0.2877, 0.1099], [0.9481, 0.4857, 0.6591], [0.5939, 0.6754, 0.2457], [0.4042, 0.9499, 0.2957], [0.8646, 0.6544, 0.4620], [0.6062, 0.7877, 0.6099], [0.8172, 0.5272, 0.9869], [0.4038, 0.5131, 0.5753], [0.1389, 0.7928, 0.0920], [0.7541, 0.1676, 0.3216], [0.4036, 0.6416, 0.9641], [0.5879, 0.4525, 0.3026], [0.4039, 0.0131, 0.0753], [0.7880, 0.1367, 0.1367], [0.7879, 0.6367, 0.6367]], "magnetic_moment_mub_per_fu": 5.00, "space_group": "No. 1", "final_energy_ev_per_cell": -318.895, "polymorph_energy_mev_per_atom": 0, "vol_a3_per_atom": 12.20}

Record 8
{"formula": "Li2VCrP4O14", "functional": "GGA+U", "state": "relaxed", "cell": [[7.0212, 0.0005, -0.0192], [-0.0109, 8.2484, 0.0007], [-2.3715, -0.0160, 13.9139]], "species": ["P", "P", "P", "P", "P", "P", "P", "P", "P", "P", "P", "P", "O", "O", "O", "O", "O", "O", "O", "O", "O", "O", "O", "O", "O", "O", "O", "O", "O", "O", "O", "O", "O", "O", "O", "O", "O", "O", "O", "O", "O", "O", "O", "O", "O", "O", "O", "O", "O", "O", "O", "O", "O", "O", "Li", "Li", "Li", "Li", "Li", "Li", "V", "V", "V", "Cr", "Cr", "Cr"], "fractional_positions": [[0.0602, 0.6810, 0.5347], [0.9869, 0.7819, 0.0711], [0.0134, 0.2811, 0.9283], [0.6779, 0.2819, 0.5935], [0.9430, 0.1794, 0.4669], [0.6519, 0.7877, 0.7390], [0.3207, 0.7883, 0.4072], [0.7233, 0.6791, 0.1991], [0.3922, 0.6803, 0.8674], [0.2776, 0.1784, 0.8006], [0.3463, 0.2878, 0.2589], [0.6075, 0.1807, 0.1318], [0.4730, 0.1770, 0.8682], [0.0951, 0.8462, 0.5851], [0.2851, 0.4371, 0.1968], [0.1370, 0.1775, 0.5355], [0.4233, 0.5382, 0.9382], [0.8274, 0.6998, 0.7130], [0.2469, 0.0364, 0.7295], [0.1101, 0.1499, 0.8645], [0.9083, 0.3442, 0.4168], [0.0906, 0.5403, 0.6064], [0.5037, 0.8269, 0.6504], [0.1625, 0.3244, 0.0158], [0.4286, 0.8451, 0.9183], [0.1699, 0.8259, 0.3190], [0.2256, 0.6541, 0.4701], [0.5717, 0.3455, 0.0812], [0.3804, 0.9382, 0.4693], [0.7586, 0.8436, 0.2495], [0.7548, 0.5387, 0.2712], [0.5043, 0.1933, 0.6218], [0.9442, 0.4293, 0.8659], [0.2417, 0.3427, 0.7501], [0.5557, 0.6535, 0.8019], [0.8397, 0.1911, 0.9557], [0.4966, 0.7020, 0.3807], [0.5776, 0.0382, 0.0612], [0.4415, 0.1536, 0.1962], [0.8297, 0.3241, 0.6805], [0.4978, 0.3269, 0.3468], [0.1713, 0.2015, 0.2862], [0.1608, 0.6918, 0.0439], [0.8380, 0.8241, 0.9833], [0.0555, 0.9304, 0.1334], [0.7142, 0.9364, 0.8020], [0.6106, 0.4309, 0.5318], [0.7738, 0.1506, 0.5299], [0.1948, 0.6778, 0.8011], [0.8033, 0.1786, 0.1993], [0.9128, 0.0389, 0.3948], [0.5277, 0.6768, 0.1317], [0.8642, 0.6779, 0.4672], [0.8902, 0.6507, 0.1350], [0.2787, 0.3596, 0.6087], [0.6145, 0.3604, 0.9398], [0.9440, 0.3598, 0.2748], [0.0544, 0.8601, 0.7270], [0.7244, 0.8596, 0.3913], [0.3865, 0.8602, 0.0599], [0.9916, 0.0001, 0.2607], [0.0082, 0.4992, 0.7391], [0.6757, 0.5007, 0.4050], [0.3221, 0.0005, 0.5969], [0.6564, 0.9992, 0.9295], [0.3440, 0.4998, 0.0696]], "magnetic_moment_mub_per_fu": 5.00, "space_group": "No. 1", "final_energy_ev_per_cell": -478.334, "polymorph_energy_mev_per_atom": 0, "vol_a3_per_atom": 12.20}